No. 1
# PuMnSiNi

Crystalline PuMnSiNi at its relaxed geometry (GGA-PBE, Alexandria).

Crystal system: cubic
M_tot (μB per atom): 0.53
Final energy (eV per atom): -8.854
Space-group type: No. 216

Cell lengths 4.3999, 4.3999, 4.3999 Å; angles 60.00, 60.00, 60.00 degrees
Last column: nearest neighbours and their distance in Å.
Sites, in units of the cell vectors:
Si: 0.2500 0.2500 0.2500  4 Mn 2.69, 4 Ni 2.69
Mn: 0.0000 0.0000 0.0000  4 Pu 2.69, 4 Si 2.69
Pu: 0.7500 0.7500 0.7500  4 Ni 2.69, 4 Mn 2.69
Ni: 0.5000 0.5000 0.5000  4 Pu 2.69, 4 Si 2.69


No. 2
# TeRuW

Crystalline TeRuW at its relaxed geometry (GGA-PBE, Alexandria).

Crystal system: orthorhombic
M_tot (μB per atom): 0.00
ΔE to the lowest computed polymorph (meV/atom): 204
Space-group type: No. 44

Cell lengths 4.8646, 4.8646, 4.8646 Å; angles 143.42, 130.34, 63.23 degrees
Last column: nearest neighbours and their distance in Å.
Sites, in units of the cell vectors:
W: 0.6581 0.6581 0.0000  5 Te 2.70-2.93, 5 Ru 2.83-2.91
Te: 0.3322 0.3322 0.0000  5 Ru 2.67-2.94, 5 W 2.70-2.93
Ru: 0.0096 0.0096 0.0000  5 Te 2.67-2.94, 5 W 2.83-2.91


No. 3
# Pu8IrPt2

Crystalline Pu8IrPt2 at its relaxed geometry (GGA-PBE, Alexandria).

Crystal system: monoclinic
M_tot (μB per atom): 2.11
Formation energy from the elements (eV/atom): -0.309
Space-group type: No. 12

Cell lengths 4.9639, 6.2384, 8.9385 Å; angles 104.77, 106.12, 90.00 degrees
Last column: nearest neighbours and their distance in Å.
Sites, in units of the cell vectors:
Pu: 0.9972 0.7562 0.9944  2 Ir 2.90, 1 Pt 2.91, 4 Pu 3.02-3.22
Pu: 0.0028 0.2438 0.0056  2 Ir 2.90, 1 Pt 2.91, 4 Pu 3.02-3.22
Pu: 0.2087 0.3162 0.4175  1 Pt 2.93, 2 Pu 3.11
Pu: 0.3370 0.9919 0.6739  1 Ir 2.79, 3 Pt 2.96-3.00, 2 Pu 3.11
Pu: 0.5911 0.4893 0.1823  2 Pt 3.02, 1 Ir 3.04, 5 Pu 3.09-3.33
Pu: 0.7913 0.6838 0.5825  1 Pt 2.93, 2 Pu 3.11
Pu: 0.4089 0.5107 0.8177  2 Pt 3.02, 1 Ir 3.04, 5 Pu 3.09-3.33
Pu: 0.6630 0.0081 0.3261  1 Ir 2.79, 3 Pt 2.96-3.00, 2 Pu 3.11
Pt: 0.8353 0.2615 0.6706  7 Pu 2.91-3.02
Pt: 0.1647 0.7385 0.3294  7 Pu 2.91-3.02
Ir: 0.5000 0.0000 0.0000  8 Pu 2.79-3.04


No. 4
# Pm3Sm4Th2

Crystalline Pm3Sm4Th2 at its relaxed geometry (GGA-PBE, Alexandria).

Crystal system: trigonal
M_tot (μB per atom): 0.00
ΔE to the lowest computed polymorph (meV/atom): 27
Formation energy from the elements (eV/atom): 0.087
Space-group type: No. 156

Cell lengths 3.6012, 3.6012, 27.2069 Å; angles 90.00, 90.00, 120.00 degrees
Last column: nearest neighbours and their distance in Å.
Sites, in units of the cell vectors:
Sm: 0.6667 0.3333 0.2159  1 Th 3.39, 3 Pm 3.57, 6 Sm 3.60
Sm: 0.6667 0.3333 0.4347  9 Sm 3.60, 3 Pm 3.69
Sm: 0.0000 0.0000 0.5428  9 Sm 3.60, 3 Pm 3.64
Sm: 0.0000 0.0000 0.7639  3 Th 3.59, 6 Sm 3.60, 3 Pm 3.67
Pm: 0.6667 0.3333 0.6528  6 Pm 3.60, 6 Sm 3.64-3.67
Pm: 0.0000 0.0000 0.3225  6 Sm 3.57-3.69, 6 Pm 3.60
Pm: 0.0000 0.0000 0.9817  6 Pm 3.60, 6 Th 3.64-3.65
Th: 0.6667 0.3333 0.0914  1 Sm 3.39, 6 Th 3.60, 3 Pm 3.64
Th: 0.6667 0.3333 0.8716  3 Sm 3.59, 6 Th 3.60, 3 Pm 3.65


No. 5
# Sr2CuAs

Crystalline Sr2CuAs at its relaxed geometry (GGA-PBE, Alexandria).

Crystal system: orthorhombic
M_tot (μB per atom): 0.00
Formation energy from the elements (eV/atom): -0.497
Space-group type: No. 44

Cell lengths 7.9049, 7.9049, 7.9049 Å; angles 149.48, 148.37, 44.52 degrees
Last column: nearest neighbours and their distance in Å.
Sites, in units of the cell vectors:
Sr: 0.0036 0.0036 0.0000  4 As 3.20, 2 Cu 3.24
Sr: 0.2468 0.7468 0.5000  4 Cu 3.20, 2 As 3.25
Cu: 0.6689 0.1689 0.5000  2 As 2.45
As: 0.5807 0.5807 0.0000  2 Cu 2.45


No. 6
# Ba2NaBr2

Crystalline Ba2NaBr2 at its relaxed geometry (GGA-PBE, Alexandria).

Crystal system: tetragonal
M_tot (μB per atom): 0.09
ΔE to the lowest computed polymorph (meV/atom): 130
Space-group type: No. 139

Cell lengths 6.3558, 6.3558, 7.2101 Å; angles 63.85, 63.85, 90.00 degrees
Last column: nearest neighbours and their distance in Å.
Sites, in units of the cell vectors:
Ba: 0.7500 0.2500 0.5000  4 Br 3.29
Ba: 0.2500 0.7500 0.5000  4 Br 3.29
Br: 0.6740 0.6740 0.6520  4 Ba 3.29, 1 Na 3.68
Br: 0.3260 0.3260 0.3480  4 Ba 3.29, 1 Na 3.68
Na: 0.0000 0.0000 0.0000  2 Br 3.68


No. 7
# Mg3Tc

Crystalline Mg3Tc at its relaxed geometry (GGA-PBE, Alexandria).

Crystal system: trigonal
M_tot (μB per atom): 0.17
Formation energy from the elements (eV/atom): 0.230
Space-group type: No. 166

Cell lengths 2.9809, 9.9411, 2.9809 Å; angles 98.62, 60.00, 98.62 degrees
Last column: nearest neighbours and their distance in Å.
Sites, in units of the cell vectors:
Mg: 0.2578 0.7735 0.2578  3 Tc 2.81, 6 Mg 2.98
Mg: 0.7422 0.2265 0.7422  3 Tc 2.81, 6 Mg 2.98
Mg: 0.5000 0.5000 0.5000  12 Mg 2.98-3.18
Tc: 0.0000 0.0000 0.0000  6 Mg 2.81, 6 Tc 2.98


No. 8
# Rb2ErOF3

Crystalline Rb2ErOF3 at its relaxed geometry (GGA-PBE, Alexandria).

Crystal system: orthorhombic
M_tot (μB per atom): 0.00
Final energy (eV per atom): -5.581
Space-group type: No. 71

Cell lengths 4.3555, 4.4725, 7.8063 Å; angles 106.65, 106.20, 90.00 degrees
Last column: nearest neighbours and their distance in Å.
Sites, in units of the cell vectors:
F: 0.1557 0.1557 0.3113  1 Er 2.23
F: 0.0000 0.5000 0.0000  2 Er 2.24
F: 0.8443 0.8443 0.6887  1 Er 2.23
O: 0.5000 0.0000 0.0000  2 Er 2.18
Rb: 0.6468 0.6468 0.2936  7 F 2.83-3.12, 2 O 3.07
Rb: 0.3532 0.3532 0.7064  7 F 2.83-3.12, 2 O 3.07
Er: 0.0000 0.0000 0.0000  2 O 2.18, 4 F 2.23-2.24